# 1
# Th6Ir3RuS2

A relaxed Th6Ir3RuS2 crystal (PBE, Alexandria).

magnetization: 0.00 Bohr magnetons per cell
mass density: 11.768 g cm⁻³
ΔE_f (raw): -1152.0 meV per atom
uncorrected energy: -8.54 eV/atom

```
data_Th6Ir3RuS2
_chemical_formula_sum 'Th12 Ir6 Ru2 S4'
_cell_length_a 18.391
_cell_length_b 4.084
_cell_length_c 8.350
_cell_angle_alpha 90.00
_cell_angle_beta 106.21
_cell_angle_gamma 90.00
_symmetry_space_group_name_H-M 'C 1 2/m 1'
_symmetry_Int_Tables_number 12
_symmetry_space_group_name_Hall '-C 2y'
loop_
_atom_site_label
_atom_site_type_symbol
_atom_site_fract_x
_atom_site_fract_y
_atom_site_fract_z
Th1 Th 0.007 0.000 0.254
Th2 Th 0.156 0.500 0.591
Th3 Th 0.163 0.500 0.119
Ir1 Ir 0.000 0.500 0.000
Ir2 Ir 0.179 0.000 0.365
Ru1 Ru 0.000 0.500 0.500
S1 S 0.173 0.000 0.863
```



# 2
# LaMg6Co

A relaxed LaMg6Co crystal (PBE, Alexandria).

magnetization: 0.94 Bohr magnetons per cell
ΔE_f: 0.102 eV per atom
mass density: 3.062 g cm⁻³
uncorrected energy: -2.60 eV/atom

```
data_LaMg6Co
_chemical_formula_sum 'La2 Mg12 Co2'
_cell_length_a 4.954
_cell_length_b 5.783
_cell_length_c 13.011
_cell_angle_alpha 90.00
_cell_angle_beta 90.00
_cell_angle_gamma 90.00
_symmetry_space_group_name_H-M 'A m m 2'
_symmetry_Int_Tables_number 38
_symmetry_space_group_name_Hall 'A 2 -2'
loop_
_atom_site_label
_atom_site_type_symbol
_atom_site_fract_x
_atom_site_fract_y
_atom_site_fract_z
La1 La 0.000 0.000 0.000
Mg1 Mg 0.000 0.248 0.250
Mg2 Mg 0.500 0.000 0.165
Mg3 Mg 0.500 0.000 0.588
Mg4 Mg 0.500 0.242 0.382
Co1 Co 0.000 0.000 0.431
```



# 3
# LiCoIr2

A relaxed LiCoIr2 crystal (PBE, Alexandria).

magnetization: 2.35 Bohr magnetons per cell
ΔE_f: 0.024 eV per atom
mass density: 14.831 g cm⁻³
uncorrected energy: -6.66 eV/atom

```
data_LiCoIr2
_chemical_formula_sum 'Li2 Co2 Ir4'
_cell_length_a 4.017
_cell_length_b 2.633
_cell_length_c 9.536
_cell_angle_alpha 90.00
_cell_angle_beta 90.00
_cell_angle_gamma 90.00
_symmetry_space_group_name_H-M 'A m m 2'
_symmetry_Int_Tables_number 38
_symmetry_space_group_name_Hall 'A 2 -2'
loop_
_atom_site_label
_atom_site_type_symbol
_atom_site_fract_x
_atom_site_fract_y
_atom_site_fract_z
Li1 Li 0.000 0.000 0.000
Co1 Co 0.500 0.000 0.120
Ir1 Ir 0.000 0.000 0.742
Ir2 Ir 0.500 0.000 0.382
```



# 4
# PrNd12Er7

A relaxed PrNd12Er7 crystal (PBE, Alexandria).

magnetization: 0.00 Bohr magnetons per cell
ΔE_f: 0.151 eV per atom
mass density: 7.399 g cm⁻³
uncorrected energy: -4.55 eV/atom

```
data_PrNd12Er7
_chemical_formula_sum 'Pr3 Nd36 Er21'
_cell_length_a 15.2610
_cell_length_b 15.2610
_cell_length_c 10.1572
_cell_angle_alpha 90.00
_cell_angle_beta 90.00
_cell_angle_gamma 120.00
_symmetry_space_group_name_H-M 'R -3'
_symmetry_Int_Tables_number 148
_symmetry_space_group_name_Hall '-R 3'
loop_
_atom_site_label
_atom_site_type_symbol
_atom_site_fract_x
_atom_site_fract_y
_atom_site_fract_z
Pr1 Pr 0.0000 0.0000 0.0000
Nd1 Nd 0.0445 0.8435 0.2514
Nd2 Nd 0.0475 0.7999 0.5772
Er1 Er 0.0000 0.0000 0.5000
Er2 Er 0.0659 0.8200 0.9250
```



# 5
# Pr5Ho2Th2

A relaxed Pr5Ho2Th2 crystal (PBE, Alexandria).

magnetization: 0.00 Bohr magnetons per cell
ΔE_f: 0.058 eV per atom
mass density: 8.098 g cm⁻³
uncorrected energy: -5.26 eV/atom

```
data_Pr5Ho2Th2
_chemical_formula_sum 'Pr5 Ho2 Th2'
_cell_length_a 6.304
_cell_length_b 6.344
_cell_length_c 8.100
_cell_angle_alpha 82.93
_cell_angle_beta 75.01
_cell_angle_gamma 80.19
_symmetry_space_group_name_H-M 'P -1'
_symmetry_Int_Tables_number 2
_symmetry_space_group_name_Hall '-P 1'
loop_
_atom_site_label
_atom_site_type_symbol
_atom_site_fract_x
_atom_site_fract_y
_atom_site_fract_z
Pr1 Pr 0.000 0.000 0.000
Pr2 Pr 0.116 0.229 0.548
Pr3 Pr 0.447 0.883 0.231
Ho1 Ho 0.222 0.447 0.108
Th1 Th 0.337 0.659 0.670
```



# 6
# CsRhSe2Br

A relaxed CsRhSe2Br crystal (PBE, Alexandria).

magnetization: 2.76 Bohr magnetons per cell
mass density: 3.682 g cm⁻³
ΔE_f (raw): 1365.5 meV per atom
uncorrected energy: -2.00 eV/atom

```
data_CsRhSe2Br
_chemical_formula_sum 'Cs1 Rh1 Se2 Br1'
_cell_length_a 5.743
_cell_length_b 5.743
_cell_length_c 6.476
_cell_angle_alpha 90.00
_cell_angle_beta 90.00
_cell_angle_gamma 90.00
_symmetry_space_group_name_H-M 'P 4/m m m'
_symmetry_Int_Tables_number 123
_symmetry_space_group_name_Hall '-P 4 2'
loop_
_atom_site_label
_atom_site_type_symbol
_atom_site_fract_x
_atom_site_fract_y
_atom_site_fract_z
Cs1 Cs 0.000 0.000 0.000
Rh1 Rh 0.500 0.500 0.500
Se1 Se 0.000 0.500 0.000
Br1 Br 0.000 0.000 0.500
```



# 7
# Pu2AgHg3

A relaxed Pu2AgHg3 crystal (PBE, Alexandria).

magnetization: 11.46 Bohr magnetons per cell
ΔE_f: -0.156 eV per atom
mass density: 14.178 g cm⁻³
uncorrected energy: -5.56 eV/atom

```
data_Pu2AgHg3
_chemical_formula_sum 'Pu2 Ag1 Hg3'
_cell_length_a 3.109
_cell_length_b 5.091
_cell_length_c 8.862
_cell_angle_alpha 90.00
_cell_angle_beta 90.00
_cell_angle_gamma 90.00
_symmetry_space_group_name_H-M 'P m m 2'
_symmetry_Int_Tables_number 25
_symmetry_space_group_name_Hall 'P 2 -2'
loop_
_atom_site_label
_atom_site_type_symbol
_atom_site_fract_x
_atom_site_fract_y
_atom_site_fract_z
Pu1 Pu 0.000 0.000 0.000
Pu2 Pu 0.000 0.500 0.497
Ag1 Ag 0.500 0.000 0.330
Hg1 Hg 0.500 0.000 0.657
Hg2 Hg 0.500 0.500 0.172
Hg3 Hg 0.500 0.500 0.834
```



# 8
# AlCu2Tc

A relaxed AlCu2Tc crystal (PBE, Alexandria).

magnetization: 0.00 Bohr magnetons per cell
ΔE_f: -0.013 eV per atom
mass density: 7.846 g cm⁻³
uncorrected energy: -5.59 eV/atom

```
data_AlCu2Tc
_chemical_formula_sum 'Al2 Cu4 Tc2'
_cell_length_a 2.721
_cell_length_b 4.377
_cell_length_c 8.958
_cell_angle_alpha 90.00
_cell_angle_beta 90.00
_cell_angle_gamma 90.00
_symmetry_space_group_name_H-M 'I m m m'
_symmetry_Int_Tables_number 71
_symmetry_space_group_name_Hall '-I 2 2'
loop_
_atom_site_label
_atom_site_type_symbol
_atom_site_fract_x
_atom_site_fract_y
_atom_site_fract_z
Al1 Al 0.000 0.000 0.000
Cu1 Cu 0.000 0.500 0.259
Tc1 Tc 0.000 0.000 0.500
```



# 9
# Nd6P2IrBr3

A relaxed Nd6P2IrBr3 crystal (PBE, Alexandria).

magnetization: 0.00 Bohr magnetons per cell
mass density: 6.666 g cm⁻³
ΔE_f (raw): -1329.6 meV per atom
uncorrected energy: -5.77 eV/atom

```
data_Nd6P2IrBr3
_chemical_formula_sum 'Nd12 P4 Ir2 Br6'
_cell_length_a 19.103
_cell_length_b 4.099
_cell_length_c 9.006
_cell_angle_alpha 90.00
_cell_angle_beta 106.20
_cell_angle_gamma 90.00
_symmetry_space_group_name_H-M 'C 1 2/m 1'
_symmetry_Int_Tables_number 12
_symmetry_space_group_name_Hall '-C 2y'
loop_
_atom_site_label
_atom_site_type_symbol
_atom_site_fract_x
_atom_site_fract_y
_atom_site_fract_z
Nd1 Nd 0.009 0.000 0.218
Nd2 Nd 0.157 0.500 0.114
Nd3 Nd 0.178 0.500 0.559
P1 P 0.167 0.000 0.338
Ir1 Ir 0.000 0.500 0.000
Br1 Br 0.000 0.500 0.500
Br2 Br 0.170 0.000 0.830
```



# 10
# La2NdAg5

A relaxed La2NdAg5 crystal (PBE, Alexandria).

magnetization: 0.00 Bohr magnetons per cell
ΔE_f: -0.198 eV per atom
mass density: 7.893 g cm⁻³
uncorrected energy: -3.81 eV/atom

```
data_La2NdAg5
_chemical_formula_sum 'La4 Nd2 Ag10'
_cell_length_a 5.230
_cell_length_b 5.230
_cell_length_c 14.786
_cell_angle_alpha 90.00
_cell_angle_beta 90.00
_cell_angle_gamma 90.00
_symmetry_space_group_name_H-M 'I 4/m m m'
_symmetry_Int_Tables_number 139
_symmetry_space_group_name_Hall '-I 4 2'
loop_
_atom_site_label
_atom_site_type_symbol
_atom_site_fract_x
_atom_site_fract_y
_atom_site_fract_z
La1 La 0.000 0.000 0.228
Nd1 Nd 0.000 0.000 0.500
Ag1 Ag 0.000 0.000 0.000
Ag2 Ag 0.000 0.500 0.112
```



# 11
# CaWBr2

A relaxed CaWBr2 crystal (PBE, Alexandria).

magnetization: 7.73 Bohr magnetons per cell
mass density: 6.175 g cm⁻³
ΔE_f (raw): 403.7 meV per atom
uncorrected energy: -4.17 eV/atom

```
data_CaWBr2
_chemical_formula_sum 'Ca2 W2 Br4'
_cell_length_a 4.123
_cell_length_b 4.123
_cell_length_c 12.141
_cell_angle_alpha 90.00
_cell_angle_beta 90.00
_cell_angle_gamma 90.00
_symmetry_space_group_name_H-M 'I -4 m 2'
_symmetry_Int_Tables_number 119
_symmetry_space_group_name_Hall 'I -4 -2'
loop_
_atom_site_label
_atom_site_type_symbol
_atom_site_fract_x
_atom_site_fract_y
_atom_site_fract_z
Ca1 Ca 0.000 0.000 0.000
W1 W 0.000 0.500 0.750
Br1 Br 0.000 0.000 0.500
Br2 Br 0.000 0.500 0.250
```



# 12
# La3Zn2Au4

A relaxed La3Zn2Au4 crystal (PBE, Alexandria).

magnetization: 0.00 Bohr magnetons per cell
ΔE_f: -0.739 eV per atom
mass density: 10.348 g cm⁻³
uncorrected energy: -4.12 eV/atom

```
data_La3Zn2Au4
_chemical_formula_sum 'La6 Zn4 Au8'
_cell_length_a 11.126
_cell_length_b 4.683
_cell_length_c 8.980
_cell_angle_alpha 90.00
_cell_angle_beta 113.64
_cell_angle_gamma 90.00
_symmetry_space_group_name_H-M 'C 1 2/m 1'
_symmetry_Int_Tables_number 12
_symmetry_space_group_name_Hall '-C 2y'
loop_
_atom_site_label
_atom_site_type_symbol
_atom_site_fract_x
_atom_site_fract_y
_atom_site_fract_z
La1 La 0.000 0.000 0.000
La2 La 0.158 0.500 0.675
Zn1 Zn 0.127 0.500 0.298
Au1 Au 0.071 0.000 0.393
Au2 Au 0.215 0.500 0.066
```



Q: magnetization of number 3 (LiCoIr2)?
A: 2.35 Bohr magnetons per cell



Q: What is the magnetization in the sixth record?
A: 2.76 Bohr magnetons per cell



Q: mass density of number 12 (La3Zn2Au4)?
A: 10.348 g cm⁻³



Q: Among the records above, which one has the lowest uncorrected energy?
A: Th6Ir3RuS2